Density functional theory data (GGA+U) for a geometry-optimized PuMnF5 structure.

Cell and atoms, written as CIF:
```
data_PuMnF5
_chemical_formula_sum 'Pu4 Mn4 F20'
_cell_length_a 9.496
_cell_length_b 6.972
_cell_length_c 8.008
_cell_angle_alpha 90.00
_cell_angle_beta 114.88
_cell_angle_gamma 90.00
_symmetry_space_group_name_H-M 'C 1 2/c 1'
_symmetry_Int_Tables_number 15
_symmetry_space_group_name_Hall '-C 2yc'
loop_
_atom_site_label
_atom_site_type_symbol
_atom_site_fract_x
_atom_site_fract_y
_atom_site_fract_z
Pu1 Pu 0.000 0.046 0.250
Mn1 Mn 0.000 0.500 0.000
F1 F 0.000 0.394 0.250
F2 F 0.010 0.188 0.970
F3 F 0.242 0.475 0.627
```

Total magnetic moment = 10.00 μB/f.u.
Energy = -53.51 eV/f.u.
Crystal system = monoclinic
Density = 5441 kg/m³


Density functional theory data (GGA+U) for a geometry-optimized Pu2MnF11 structure.

Cell and atoms, written as CIF:
```
data_Pu2MnF11
_chemical_formula_sum 'Pu8 Mn4 F44'
_cell_length_a 8.496
_cell_length_b 9.990
_cell_length_c 10.604
_cell_angle_alpha 90.00
_cell_angle_beta 90.00
_cell_angle_gamma 90.00
_symmetry_space_group_name_H-M 'I b a m'
_symmetry_Int_Tables_number 72
_symmetry_space_group_name_Hall '-I 2 2c'
loop_
_atom_site_label
_atom_site_type_symbol
_atom_site_fract_x
_atom_site_fract_y
_atom_site_fract_z
Pu1 Pu 0.155 0.183 0.000
Mn1 Mn 0.000 0.500 0.250
F1 F 0.000 0.000 0.000
F2 F 0.084 0.324 0.141
F3 F 0.136 0.208 0.500
F4 F 0.224 0.429 0.362
```

Total magnetic moment = 12.00 μB/f.u.
Energy = -100.40 eV/f.u.
Crystal system = orthorhombic
Density = 5549 kg/m³